# Co2NiO4

A geometry-optimized Co2NiO4 structure (PBEsol, the Alexandria database).

Unit cell a=5.6624 b=5.6624 c=5.6624 alpha=90.03 beta=59.98 gamma=120.02
Last column: magnetic moment on the atom in μB.
Atoms (fractional coordinates):
Co 0.0000 0.5000 0.5000  0.14
Co 0.2500 0.1207 0.1293  2.27
Co 0.5000 0.0000 0.5000  0.14
Co 0.7500 0.8793 0.8707  2.27
O 0.9757 0.2571 0.2672  0.06
O 0.4841 0.7476 0.7365  0.06
O 0.4757 0.7429 0.2813  0.06
O 0.0243 0.7429 0.7328  0.06
O 0.5243 0.2571 0.7187  0.06
O 0.0159 0.2794 0.7365  0.06
O 0.9841 0.7206 0.2635  0.06
O 0.5159 0.2524 0.2635  0.06
Ni 0.0000 0.5000 0.0000  -0.72
Ni 0.5000 0.5000 0.5000  -0.72

Properties
Raw total energy: -98.7 eV per cell
Excess energy over the best structure of this formula in the dataset: 0.0306 eV/atom
D(E_F): 5.792 states/eV per cell


# Rb2BaHgBr

A geometry-optimized Rb2BaHgBr structure (PBEsol, the Alexandria database).

Unit cell a=6.1937 b=7.9809 c=7.9809 alpha=90.00 beta=90.00 gamma=90.00
Last column: magnetic moment on the atom in μB.
Atoms (fractional coordinates):
Hg 0.5000 0.0000 0.0000  0.09
Rb 0.0000 0.5000 0.0000  0.01
Rb 0.0000 0.0000 0.5000  0.01
Ba 0.0000 0.0000 0.0000  0.20
Br 0.5000 0.5000 0.5000  0.02

Properties
Raw total energy: -6.4 eV per cell
D(E_F): 3.894 states/eV per cell